Entry P
Computed, not measured: LiAg2Mo at its PBEsol-relaxed geometry at the SCAN level of DFT.

Output
space-group type: I4/mmm (139)
N(E_F): 4.4 states/eV/f.u.

Cell lengths 4.459, 4.459, 4.459 Å; angles 120.12, 120.12, 89.80 degrees
Sites, in units of the cell vectors:
Li 0.000 0.000 0.000
Ag 0.250 0.750 0.500
Ag 0.750 0.250 0.500
Mo 0.500 0.500 0.000

---

Entry Q
Computed, not measured: LiAg2Mo at its PBEsol-relaxed geometry at the SCAN level of DFT.

Output
space-group type: Immm (71)
N(E_F): 3.5 states/eV/f.u.

Cell lengths 5.462, 5.462, 5.462 Å; angles 151.55, 127.64, 60.66 degrees
Sites, in units of the cell vectors:
Li 0.000 0.000 0.000
Ag 0.234 0.734 0.500
Ag 0.766 0.266 0.500
Mo 0.500 0.500 0.000

---

Entry R
Computed, not measured: LiAg2Mo at its PBEsol-relaxed geometry at the SCAN level of DFT.

Output
space-group type: Cmmm (65)
N(E_F): 1.8 states/eV/f.u.

Cell lengths 4.935, 4.935, 2.652 Å; angles 90.00, 90.00, 100.65 degrees
Sites, in units of the cell vectors:
Li 0.000 0.000 0.000
Ag 0.000 0.500 0.500
Ag 0.500 0.000 0.500
Mo 0.500 0.500 0.000

---

Stability summary: most stable entry R, least stable entry P.

---

Entry P
Computed, not measured: LiAgOs2 at its PBEsol-relaxed geometry at the SCAN level of DFT.

Output
space-group type: P4/mmm (123)
N(E_F): 3.6 states/eV/f.u.

Cell lengths 2.916, 2.916, 6.319 Å; angles 90.00, 90.00, 90.00 degrees
Sites, in units of the cell vectors:
Li 0.000 0.000 0.000
Ag 0.000 0.000 0.500
Os 0.500 0.500 0.195
Os 0.500 0.500 0.805

---

Entry Q
Computed, not measured: LiAgOs2 at its PBEsol-relaxed geometry at the SCAN level of DFT.

Output
space-group type: Pmm2 (25)
N(E_F): 2.1 states/eV/f.u.

Cell lengths 2.701, 3.864, 5.558 Å; angles 90.00, 90.00, 90.00 degrees
Sites, in units of the cell vectors:
Li 0.000 0.000 0.000
Ag 0.500 0.500 0.794
Os 0.000 0.000 0.472
Os 0.500 0.500 0.294

---

Stability summary: most stable entry Q, least stable entry P.

---

Entry P
Computed, not measured: Li2ReAg at its PBEsol-relaxed geometry at the SCAN level of DFT.

Output
space-group type: Fm-3m (225)
N(E_F): 2.0 states/eV/f.u.

Cell lengths 4.247, 4.247, 4.247 Å; angles 60.00, 60.00, 60.00 degrees
Sites, in units of the cell vectors:
Li 0.250 0.250 0.250
Li 0.750 0.750 0.750
Re 0.000 0.000 0.000
Ag 0.500 0.500 0.500

---

Entry Q
Computed, not measured: Li2ReAg at its PBEsol-relaxed geometry at the SCAN level of DFT.

Output
space-group type: I-42d (122)
N(E_F): 2.3 states/eV/f.u.

Cell lengths 5.343, 5.343, 5.343 Å; angles 104.04, 104.04, 120.99 degrees
Sites, in units of the cell vectors:
Li 0.111 0.125 0.486
Li 0.375 0.889 0.014
Li 0.639 0.625 0.514
Li 0.875 0.361 0.986
Re 0.250 0.750 0.500
Re 0.500 0.500 0.000
Ag 0.000 0.000 0.000
Ag 0.750 0.250 0.500

---

Stability summary: most stable entry P, least stable entry Q.